i:
Computed, not measured: a geometry-optimized Li2CoP2O7 structure at the PBE with a Hubbard U level of DFT.

Its symmetry is P-1 (2). The calculation puts the total magnetization at 6.0 μB per cell.

a = 5.1877 Å, b = 7.2722 Å, c = 8.2410 Å
α = 65.87°, β = 94.69°, γ = 99.12°
Last column: nearest neighbours and their distance in Å.
Atoms (fractional coordinates):
Co 0.1844 0.2726 0.7272  5 O 2.04-2.15
Co 0.8156 0.7274 0.2728  5 O 2.04-2.15
O 0.5598 0.4644 0.3449  1 P 1.54
O 0.7878 0.6305 0.8515  2 P 1.63
O 0.9006 0.6968 0.5342  1 P 1.54
O 0.8325 0.3380 0.7786  1 P 1.54
O 0.4183 0.0449 0.3271  1 P 1.51
O 0.3416 0.1614 0.9943  1 P 1.55
O 0.9514 0.0329 0.1978  1 P 1.53
O 0.6584 0.8386 0.0058  1 P 1.55
O 0.0994 0.3032 0.4657  1 P 1.54
O 0.2123 0.3695 0.1485  2 P 1.63
O 0.4402 0.5356 0.6552  1 P 1.54
O 0.5817 0.9551 0.6729  1 P 1.51
O 0.1675 0.6620 0.2214  1 P 1.54
O 0.0487 0.9671 0.8021  1 P 1.53
Li 0.2988 0.8172 0.5549  4 O 1.99-2.13
Li 0.7012 0.1828 0.4452  4 O 1.99-2.13
Li 0.2910 0.8667 0.9959  4 O 1.92-2.11
Li 0.7091 0.1334 0.0040  4 O 1.92-2.11
P 0.7656 0.8611 0.8273  4 O 1.51-1.63
P 0.2633 0.4527 0.3060  4 O 1.54-1.63
P 0.2345 0.1389 0.1727  4 O 1.51-1.63
P 0.7366 0.5473 0.6940  4 O 1.54-1.63

***

ii:
Computed, not measured: a geometry-optimized Li2CoP2O7 structure at the PBE with a Hubbard U level of DFT.

Its symmetry is P2_1/c (14). The calculation puts the total magnetization at 12.0 μB per cell.

a = 5.2318 Å, b = 7.7019 Å, c = 14.4820 Å
α = 94.65°, β = 90.00°, γ = 90.00°
Last column: nearest neighbours and their distance in Å.
Atoms (fractional coordinates):
O 0.3238 0.7282 0.9298  1 P 1.54
O 0.1762 0.2282 0.4298  1 P 1.54
O 0.8472 0.6044 0.2578  1 P 1.52
O 0.2663 0.1923 0.1853  1 P 1.57
O 0.0882 0.2963 0.9765  1 P 1.53
O 0.9118 0.7037 0.0235  1 P 1.53
O 0.3472 0.8956 0.2422  1 P 1.52
O 0.1528 0.3956 0.7422  1 P 1.52
O 0.2337 0.6923 0.6853  1 P 1.57
O 0.2478 0.4283 0.5723  2 P 1.62-1.64
O 0.1569 0.1117 0.5892  1 P 1.54
O 0.6528 0.1044 0.7578  1 P 1.52
O 0.1051 0.0222 0.8071  1 P 1.52
O 0.8431 0.8883 0.4108  1 P 1.54
O 0.5882 0.2037 0.5235  1 P 1.53
O 0.8949 0.9778 0.1929  1 P 1.52
O 0.6762 0.2718 0.0702  1 P 1.54
O 0.3431 0.6117 0.0892  1 P 1.54
O 0.4118 0.7963 0.4765  1 P 1.53
O 0.6569 0.3883 0.9108  1 P 1.54
O 0.8238 0.7718 0.5702  1 P 1.54
O 0.6051 0.4778 0.6929  1 P 1.52
O 0.3949 0.5222 0.3071  1 P 1.52
O 0.7337 0.8077 0.8147  1 P 1.57
O 0.7478 0.0717 0.9277  2 P 1.62-1.64
O 0.7663 0.3077 0.3147  1 P 1.57
O 0.2522 0.9283 0.0723  2 P 1.62-1.64
O 0.7522 0.5717 0.4277  2 P 1.62-1.64
Li 0.3269 0.8274 0.8072  3 O 1.90-2.03
Li 0.8367 0.2682 0.6834  3 O 1.97-2.07
Li 0.3367 0.2318 0.8166  3 O 1.97-2.07
Li 0.6633 0.7682 0.1834  3 O 1.97-2.07
Li 0.1731 0.3274 0.3072  3 O 1.90-2.03
Li 0.6731 0.1726 0.1928  3 O 1.90-2.03
Li 0.8269 0.6726 0.6928  3 O 1.90-2.03
Li 0.1633 0.7318 0.3166  3 O 1.97-2.07
P 0.1806 0.9967 0.1795  4 O 1.52-1.64
P 0.3194 0.4967 0.6795  4 O 1.52-1.64
P 0.2993 0.2319 0.5265  4 O 1.53-1.62
P 0.7993 0.2681 0.9735  4 O 1.53-1.62
P 0.2007 0.7319 0.0265  4 O 1.53-1.62
P 0.8194 0.0033 0.8205  4 O 1.52-1.64
P 0.7007 0.7681 0.4735  4 O 1.53-1.62
P 0.6806 0.5033 0.3205  4 O 1.52-1.64
Co 0.3136 0.3556 0.0822  4 O 1.96-2.04
Co 0.6864 0.6444 0.9178  4 O 1.96-2.04
Co 0.8136 0.1444 0.4178  4 O 1.96-2.04
Co 0.1864 0.8556 0.5822  4 O 1.96-2.04

***

Tell me which of them is the least stable. Sure, it is ii.

***

i:
Computed, not measured: a geometry-optimized Li2CoP2O7 structure at the PBE with a Hubbard U level of DFT.

Its symmetry is P-1 (2). The calculation puts the total magnetization at 6.1 μB per cell.

a = 5.0626 Å, b = 7.0470 Å, c = 8.8562 Å
α = 101.97°, β = 106.38°, γ = 109.52°
Last column: nearest neighbours and their distance in Å.
Atoms (fractional coordinates):
Li 0.0924 0.3243 0.9881  4 O 2.00-2.15
Li 0.9076 0.6757 0.0119  4 O 2.00-2.15
Li 0.4388 0.1151 0.7564  5 O 2.07-2.29
Li 0.5612 0.8849 0.2436  5 O 2.07-2.29
O 0.6942 0.3667 0.9953  1 P 1.53
O 0.9087 0.4984 0.3146  2 P 1.60-1.63
O 0.7702 0.1178 0.1542  1 P 1.53
O 0.6392 0.7435 0.8386  1 P 1.54
O 0.5336 0.2671 0.5622  1 P 1.53
O 0.8893 0.1526 0.7450  1 P 1.56
O 0.0913 0.5016 0.6854  2 P 1.60-1.63
O 0.1107 0.8474 0.2550  1 P 1.56
O 0.1042 0.8483 0.5414  1 P 1.51
O 0.2298 0.8822 0.8458  1 P 1.53
O 0.3058 0.6333 0.0047  1 P 1.53
O 0.3608 0.2565 0.1614  1 P 1.54
O 0.8958 0.1517 0.4586  1 P 1.51
O 0.4664 0.7329 0.4378  1 P 1.53
P 0.3315 0.7018 0.8540  4 O 1.53-1.63
P 0.8446 0.2591 0.6072  4 O 1.51-1.60
P 0.6685 0.2982 0.1460  4 O 1.53-1.63
P 0.1554 0.7409 0.3928  4 O 1.51-1.60
Co 0.8118 0.8266 0.6636  5 O 2.05-2.12
Co 0.1882 0.1734 0.3364  5 O 2.05-2.12

***

ii:
Computed, not measured: a geometry-optimized Li2CoP2O7 structure at the PBE with a Hubbard U level of DFT.

Its symmetry is P-42_1m (113). The calculation puts the total magnetization at 6.0 μB per cell.

a = 5.0466 Å, b = 7.6874 Å, c = 7.6866 Å
α = 90.00°, β = 89.99°, γ = 90.00°
Last column: nearest neighbours and their distance in Å.
Atoms (fractional coordinates):
O 0.7577 0.6894 0.5810  1 P 1.55
O 0.2423 0.4192 0.6895  1 P 1.55
O 0.1959 0.8461 0.6540  1 P 1.50
O 0.1960 0.1539 0.3460  1 P 1.50
O 0.7577 0.3104 0.4194  1 P 1.55
O 0.2424 0.8105 0.0806  1 P 1.55
O 0.8042 0.9997 0.4997  2 P 1.62
O 0.1958 0.5000 0.0000  2 P 1.62
O 0.8041 0.3460 0.8462  1 P 1.50
O 0.7576 0.9195 0.8104  1 P 1.55
O 0.2422 0.5809 0.3105  1 P 1.55
O 0.7577 0.0809 0.1894  1 P 1.55
O 0.8040 0.6540 0.1539  1 P 1.50
O 0.2424 0.1895 0.9194  1 P 1.55
Li 0.4616 0.2814 0.2180  2 O 1.93-2.16
Li 0.5384 0.2183 0.7184  3 O 1.93-2.16
Li 0.4616 0.7185 0.7819  3 O 1.93-2.16
Li 0.5383 0.7818 0.2817  3 O 1.93-2.16
P 0.1007 0.6425 0.1424  4 O 1.50-1.62
P 0.8993 0.1424 0.3576  4 O 1.50-1.62
P 0.8993 0.8576 0.6424  4 O 1.50-1.62
P 0.1007 0.3576 0.8576  4 O 1.50-1.62
Co 0.0000 0.4999 0.5000  4 O 2.00
Co 0.0000 0.0000 0.9999  4 O 2.00

***

Tell me which of them is the least stable. Sure, it is ii.

***

i:
Computed, not measured: a geometry-optimized Li2CoP2O7 structure at the PBE with a Hubbard U level of DFT.

Its symmetry is P2_1 (4). The calculation puts the total magnetization at 6.0 μB per cell.

a = 5.0309 Å, b = 7.1617 Å, c = 8.3779 Å
α = 90.00°, β = 90.00°, γ = 109.63°
Last column: nearest neighbours and their distance in Å.
Atoms (fractional coordinates):
O 0.1148 0.8986 0.9482  1 P 1.53
O 0.8962 0.2547 0.1686  2 P 1.63
O 0.4271 0.1063 0.3176  1 P 1.53
O 0.9354 0.6189 0.1890  1 P 1.54
O 0.5729 0.8937 0.8176  1 P 1.53
O 0.8852 0.1014 0.4482  1 P 1.53
O 0.6970 0.8914 0.2063  1 P 1.54
O 0.1038 0.7453 0.6686  2 P 1.63
O 0.3030 0.1086 0.7063  1 P 1.54
O 0.2994 0.5119 0.0366  1 P 1.53
O 0.0646 0.3811 0.6890  1 P 1.54
O 0.7006 0.4881 0.5366  1 P 1.53
O 0.7208 0.5057 0.8392  1 P 1.53
O 0.2792 0.4943 0.3392  1 P 1.53
Co 0.3009 0.2791 0.4947  6 O 2.05-2.28
Co 0.6991 0.7209 0.9947  6 O 2.05-2.28
Li 0.3238 0.3519 0.8522  4 O 1.93-2.10
Li 0.1453 0.9149 0.1804  3 O 1.95-2.03
Li 0.6762 0.6481 0.3522  4 O 1.93-2.10
Li 0.8547 0.0851 0.6804  3 O 1.95-2.03
P 0.2824 0.9151 0.7933  4 O 1.53-1.63
P 0.8879 0.5190 0.6851  4 O 1.53-1.63
P 0.7176 0.0849 0.2933  4 O 1.53-1.63
P 0.1121 0.4810 0.1851  4 O 1.53-1.63

***

ii:
Computed, not measured: a geometry-optimized Li2CoP2O7 structure at the PBE with a Hubbard U level of DFT.

Its symmetry is Cc (9). The calculation puts the total magnetization at 6.0 μB per cell.

a = 4.8396 Å, b = 5.0807 Å, c = 12.6150 Å
α = 98.23°, β = 90.00°, γ = 118.44°
Last column: nearest neighbours and their distance in Å.
Atoms (fractional coordinates):
P 0.2127 0.9113 0.1446  4 O 1.52-1.66
P 0.3581 0.1130 0.3788  4 O 1.52-1.64
P 0.7549 0.1130 0.8788  4 O 1.52-1.64
P 0.6986 0.9113 0.6446  4 O 1.52-1.66
Li 0.9070 0.2363 0.1076  4 O 1.94-2.10
Li 0.3293 0.2363 0.6076  4 O 1.94-2.10
Li 0.5787 0.6624 0.2838  3 O 2.10-2.16
Li 0.0837 0.6624 0.7838  3 O 2.10-2.16
O 0.6855 0.3707 0.8616  1 P 1.54
O 0.9189 0.8139 0.5869  1 P 1.52
O 0.8949 0.8139 0.0869  1 P 1.52
O 0.7058 0.1926 0.6119  1 P 1.53
O 0.6852 0.3707 0.3616  1 P 1.54
O 0.4868 0.1926 0.1119  1 P 1.53
O 0.3624 0.8251 0.3999  1 P 1.53
O 0.8818 0.0205 0.7667  2 P 1.64-1.66
O 0.1882 0.2231 0.4595  1 P 1.52
O 0.1387 0.0205 0.2667  2 P 1.64-1.66
O 0.0350 0.2231 0.9595  1 P 1.52
O 0.2879 0.6526 0.1520  1 P 1.54
O 0.3646 0.6526 0.6520  1 P 1.54
O 0.4627 0.8251 0.8999  1 P 1.53
Co 0.0241 0.5194 0.4938  4 O 2.01-2.15
Co 0.4953 0.5194 0.9938  4 O 2.01-2.15

***

Tell me which of them is the least stable. Sure, it is ii.

***

i:
Computed, not measured: a geometry-optimized Li2CoP2O7 structure at the PBE with a Hubbard U level of DFT.

Its symmetry is C2/c (15). The calculation puts the total magnetization at 5.9 μB per cell.

a = 9.3050 Å, b = 9.3050 Å, c = 8.8928 Å
α = 53.21°, β = 53.21°, γ = 31.27°
Last column: nearest neighbours and their distance in Å.
Atoms (fractional coordinates):
O 0.5167 0.4833 0.2500  2 P 1.64
O 0.1196 0.6699 0.5483  1 P 1.54
O 0.2482 0.9522 0.2404  1 P 1.54
O 0.0478 0.7518 0.2596  1 P 1.54
O 0.3301 0.8804 0.9517  1 P 1.54
O 0.4833 0.5167 0.7500  2 P 1.64
O 0.9522 0.2482 0.7404  1 P 1.54
O 0.7518 0.0478 0.7596  1 P 1.54
O 0.8804 0.3301 0.4517  1 P 1.54
O 0.3911 0.2523 0.4644  1 P 1.51
O 0.2523 0.3911 0.9644  1 P 1.51
O 0.6089 0.7477 0.5356  1 P 1.51
O 0.6699 0.1196 0.0483  1 P 1.54
O 0.7477 0.6089 0.0356  1 P 1.51
P 0.4619 0.7433 0.1112  4 O 1.51-1.64
P 0.5381 0.2567 0.8888  4 O 1.51-1.64
P 0.7433 0.4619 0.6112  4 O 1.51-1.64
P 0.2567 0.5381 0.3888  4 O 1.51-1.64
Li 0.9566 0.6638 0.8263  4 O 1.93-1.98
Li 0.3362 0.0434 0.6737  4 O 1.93-1.98
Li 0.0434 0.3362 0.1737  4 O 1.93-1.98
Li 0.6638 0.9566 0.3263  4 O 1.93-1.98
Co 0.0000 0.0000 0.5000  4 O 1.99-2.00
Co 0.0000 0.0000 0.0000  4 O 1.99-2.00

***

ii:
Computed, not measured: a geometry-optimized Li2CoP2O7 structure at the PBE with a Hubbard U level of DFT.

Its symmetry is Imma (74). The calculation puts the total magnetization at 6.0 μB per cell.

a = 6.9696 Å, b = 6.8946 Å, c = 8.1766 Å
α = 114.94°, β = 115.23°, γ = 90.00°
Last column: nearest neighbours and their distance in Å.
Atoms (fractional coordinates):
Co 0.0000 0.0000 0.5000  4 O 1.99
Co 0.0000 0.5000 0.5000  4 O 1.99
Li 0.2312 0.7312 0.9624  4 O 2.01-2.06
Li 0.7688 0.2688 0.0376  4 O 2.01-2.06
Li 0.2312 0.2312 0.9624  4 O 2.01-2.06
Li 0.7688 0.7688 0.0376  4 O 2.01-2.06
O 0.2932 0.6774 0.7242  1 P 1.55
O 0.0690 0.8226 0.2758  1 P 1.55
O 0.7068 0.3226 0.2758  1 P 1.55
O 0.9310 0.5468 0.7242  1 P 1.55
O 0.5830 0.2500 0.5000  2 P 1.63
O 0.4170 0.7500 0.5000  2 P 1.63
O 0.3471 0.0581 0.1163  1 P 1.51
O 0.2692 0.5581 0.1163  1 P 1.51
O 0.7068 0.9532 0.2758  1 P 1.55
O 0.6529 0.9419 0.8837  1 P 1.51
O 0.9310 0.1774 0.7242  1 P 1.55
O 0.0690 0.4532 0.2758  1 P 1.55
O 0.7308 0.4419 0.8837  1 P 1.51
O 0.2932 0.0468 0.7242  1 P 1.55
P 0.5815 0.1400 0.2801  4 O 1.51-1.63
P 0.1985 0.6400 0.2801  4 O 1.51-1.63
P 0.4185 0.8600 0.7199  4 O 1.51-1.63
P 0.8015 0.3600 0.7199  4 O 1.51-1.63

***

Tell me which of them is the least stable. Sure, it is ii.

***

i:
Computed, not measured: a geometry-optimized LiCoP2O7 structure at the PBE with a Hubbard U level of DFT.

Its symmetry is P-1 (2). The calculation puts the total magnetization at 7.9 μB per cell.

a = 6.4673 Å, b = 6.2278 Å, c = 6.8829 Å
α = 67.48°, β = 85.24°, γ = 81.79°
Last column: nearest neighbours and their distance in Å.
Atoms (fractional coordinates):
O 0.0304 0.9408 0.2424  1 P 1.53
O 0.0530 0.3937 0.8558  1 P 1.50
O 0.7920 0.6526 0.4725  2 P 1.60-1.61
O 0.2080 0.3474 0.5275  2 P 1.60-1.61
O 0.3321 0.0514 0.8816  1 P 1.57
O 0.6042 0.3997 0.7881  1 P 1.54
O 0.5953 0.2275 0.4692  1 P 1.52
O 0.6821 0.7863 0.7715  1 P 1.54
O 0.3179 0.2137 0.2285  1 P 1.54
O 0.4047 0.7725 0.5308  1 P 1.52
O 0.9470 0.6063 0.1442  1 P 1.50
O 0.3958 0.6003 0.2119  1 P 1.54
O 0.6679 0.9486 0.1184  1 P 1.57
O 0.9696 0.0592 0.7576  1 P 1.53
P 0.1329 0.2107 0.7673  4 O 1.50-1.61
P 0.6086 0.6588 0.6421  4 O 1.52-1.60
P 0.8671 0.7893 0.2327  4 O 1.50-1.61
P 0.3914 0.3412 0.3579  4 O 1.52-1.60
Co 0.3592 0.9043 0.2139  4 O 1.88-2.07
Co 0.6408 0.0957 0.7861  4 O 1.88-2.07
Li 0.9993 0.7108 0.8365  4 O 1.91-2.08
Li 0.0007 0.2892 0.1635  4 O 1.91-2.08

***

ii:
Computed, not measured: a geometry-optimized LiCoP2O7 structure at the PBE with a Hubbard U level of DFT.

Its symmetry is P2_1/c (14). The calculation puts the total magnetization at 16.1 μB per cell.

a = 7.0451 Å, b = 8.2273 Å, c = 9.6695 Å
α = 90.00°, β = 110.62°, γ = 90.00°
Last column: nearest neighbours and their distance in Å.
Atoms (fractional coordinates):
O 0.5842 0.9556 0.3382  1 P 1.53
O 0.0697 0.1611 0.5549  2 P 1.62
O 0.2370 0.6801 0.6055  1 P 1.54
O 0.0165 0.5617 0.3552  1 P 1.53
O 0.9835 0.0617 0.1448  1 P 1.53
O 0.3729 0.1500 0.1210  1 P 1.54
O 0.2948 0.3387 0.8998  1 P 1.53
O 0.2948 0.1613 0.3998  1 P 1.53
O 0.7052 0.6613 0.1002  1 P 1.53
O 0.0165 0.9383 0.8552  1 P 1.53
O 0.4158 0.4556 0.1618  1 P 1.53
O 0.9303 0.6611 0.9451  2 P 1.62
O 0.7648 0.3094 0.1277  1 P 1.53
O 0.7648 0.1906 0.6277  1 P 1.53
O 0.3729 0.3500 0.6210  1 P 1.54
O 0.0697 0.3389 0.0549  2 P 1.62
O 0.9835 0.4383 0.6448  1 P 1.53
O 0.7630 0.1801 0.8945  1 P 1.54
O 0.6271 0.6500 0.3790  1 P 1.54
O 0.6271 0.8500 0.8790  1 P 1.54
O 0.5842 0.5444 0.8382  1 P 1.53
O 0.9303 0.8389 0.4451  2 P 1.62
O 0.2370 0.8199 0.1055  1 P 1.54
O 0.4158 0.0444 0.6618  1 P 1.53
O 0.2352 0.8094 0.3723  1 P 1.53
O 0.7052 0.8387 0.6002  1 P 1.53
O 0.7630 0.3199 0.3945  1 P 1.54
O 0.2352 0.6906 0.8723  1 P 1.53
Li 0.6677 0.1396 0.2459  4 O 1.95-2.07
Li 0.3323 0.8604 0.7541  4 O 1.95-2.07
Li 0.3323 0.6396 0.2541  4 O 1.95-2.07
Li 0.6677 0.3604 0.7459  4 O 1.95-2.07
P 0.8928 0.2853 0.5567  4 O 1.53-1.62
P 0.1072 0.7147 0.4433  4 O 1.53-1.62
P 0.7005 0.8195 0.4414  4 O 1.53-1.62
P 0.1072 0.7853 0.9433  4 O 1.53-1.62
P 0.2995 0.3195 0.0586  4 O 1.53-1.62
P 0.8928 0.2147 0.0567  4 O 1.53-1.62
P 0.2995 0.1805 0.5586  4 O 1.53-1.62
P 0.7005 0.6805 0.9414  4 O 1.53-1.62
Co 0.2740 0.4979 0.7497  6 O 1.92-2.08
Co 0.2740 0.0021 0.2497  6 O 1.92-2.08
Co 0.7260 0.5021 0.2503  6 O 1.92-2.08
Co 0.7260 0.9979 0.7503  6 O 1.92-2.08

***

Tell me which of them is the least stable. Sure, it is i.